No. 1
# TmCoO3 | Alexandria | SCAN | PBEsol geometry
# - total moment (μB per cell) = 0.0
# - electronic total energy (eV per atom) = -20.34
# - crystal system = orthorhombic
# - raw formation energy (eV/atom) = -2.78
data_TmCoO3
_cell_length_a 4.993
_cell_length_b 5.430
_cell_length_c 7.214
_cell_angle_alpha 90.00
_cell_angle_beta 90.00
_cell_angle_gamma 90.00
_space_group_name_H-M_alt 'P 1'
_space_group_IT_number 1
_space_group_name_Hall 'P 1'
loop_
_atom_site_label
_atom_site_fract_x
_atom_site_fract_y
_atom_site_fract_z
O1 0.686 0.305 0.447
O2 0.609 0.032 0.750
O3 0.314 0.695 0.553
O4 0.314 0.695 0.947
O5 0.186 0.195 0.553
O6 0.686 0.305 0.053
O7 0.109 0.468 0.250
O8 0.186 0.195 0.947
O9 0.891 0.532 0.750
O10 0.391 0.968 0.250
O11 0.814 0.805 0.447
O12 0.814 0.805 0.053
Co1 0.000 0.500 0.000
Co2 0.000 0.500 0.500
Co3 0.500 0.000 0.500
Co4 0.500 0.000 0.000
Tm1 0.026 0.918 0.750
Tm2 0.474 0.418 0.750
Tm3 0.974 0.082 0.250
Tm4 0.526 0.582 0.250

No. 2
# CdFe2Pt | Alexandria | SCAN | PBEsol geometry
# - DOS at the Fermi energy (states/eV/cell) = 1.68
# - total moment (μB per cell) = 6.1
# - electronic total energy (eV per atom) = -34.32
# - ΔE_f (meV/atom) = -99
# - crystal system = orthorhombic
data_CdFe2Pt
_cell_length_a 2.706
_cell_length_b 3.829
_cell_length_c 5.516
_cell_angle_alpha 90.00
_cell_angle_beta 90.00
_cell_angle_gamma 90.00
_space_group_name_H-M_alt 'P 1'
_space_group_IT_number 1
_space_group_name_Hall 'P 1'
loop_
_atom_site_label
_atom_site_fract_x
_atom_site_fract_y
_atom_site_fract_z
Fe1 0.000 0.000 0.227
Fe2 0.000 0.000 0.773
Pt1 0.500 0.500 0.000
Cd1 0.500 0.500 0.500

No. 3
# La3Co2CuO9 | Alexandria | SCAN | PBEsol geometry
# - total moment (μB per cell) = 4.1
# - electronic total energy (eV per atom) = -18.24
# - crystal system = trigonal
# - raw formation energy (eV/atom) = -2.56
data_La3Co2CuO9
_cell_length_a 5.431
_cell_length_b 5.431
_cell_length_c 12.949
_cell_angle_alpha 90.00
_cell_angle_beta 90.00
_cell_angle_gamma 120.00
_space_group_name_H-M_alt 'P 1'
_space_group_IT_number 1
_space_group_name_Hall 'P 1'
loop_
_atom_site_label
_atom_site_fract_x
_atom_site_fract_y
_atom_site_fract_z
La1 0.667 0.333 0.918
La2 0.667 0.333 0.418
La3 0.333 0.667 0.082
La4 0.333 0.667 0.582
La5 0.000 0.000 0.750
La6 0.000 0.000 0.250
Co1 0.667 0.333 0.668
Co2 0.333 0.667 0.332
Co3 0.667 0.333 0.168
Co4 0.333 0.667 0.832
O1 0.880 0.227 0.086
O2 0.120 0.347 0.414
O3 0.558 0.558 0.750
O4 0.773 0.653 0.086
O5 0.442 0.442 0.250
O6 0.347 0.227 0.586
O7 0.227 0.880 0.414
O8 0.653 0.880 0.914
O9 0.120 0.773 0.914
O10 0.000 0.442 0.750
O11 0.880 0.653 0.586
O12 0.773 0.120 0.586
O13 0.347 0.120 0.086
O14 0.558 0.000 0.250
O15 0.653 0.773 0.414
O16 0.000 0.558 0.250
O17 0.227 0.347 0.914
O18 0.442 0.000 0.750
Cu1 0.000 0.000 0.000
Cu2 0.000 0.000 0.500

No. 4
# Ba2CuN2 | Alexandria | SCAN | PBEsol geometry
# - DOS at the Fermi energy (states/eV/cell) = 1.68
# - total moment (μB per cell) = 1.0
# - electronic total energy (eV per atom) = -23.03
# - crystal system = tetragonal
# - raw formation energy (eV/atom) = -0.46
data_Ba2CuN2
_cell_length_a 4.025
_cell_length_b 4.025
_cell_length_c 7.062
_cell_angle_alpha 106.56
_cell_angle_beta 106.56
_cell_angle_gamma 90.00
_space_group_name_H-M_alt 'P 1'
_space_group_IT_number 1
_space_group_name_Hall 'P 1'
loop_
_atom_site_label
_atom_site_fract_x
_atom_site_fract_y
_atom_site_fract_z
Ba1 0.650 0.650 0.300
Ba2 0.350 0.350 0.700
N1 0.862 0.862 0.723
N2 0.138 0.138 0.277
Cu1 0.000 0.000 0.000

No. 5
# CuAgPt2 | Alexandria | SCAN | PBEsol geometry
# - DOS at the Fermi energy (states/eV/cell) = 1.35
# - total moment (μB per cell) = 0.0
# - electronic total energy (eV per atom) = -46.77
# - ΔE_f (meV/atom) = -34
# - crystal system = monoclinic
data_CuAgPt2
_cell_length_a 2.703
_cell_length_b 4.698
_cell_length_c 5.358
_cell_angle_alpha 115.70
_cell_angle_beta 104.12
_cell_angle_gamma 91.09
_space_group_name_H-M_alt 'P 1'
_space_group_IT_number 1
_space_group_name_Hall 'P 1'
loop_
_atom_site_label
_atom_site_fract_x
_atom_site_fract_y
_atom_site_fract_z
Pt1 0.000 0.000 0.500
Pt2 0.500 0.500 0.500
Ag1 0.000 0.500 0.000
Cu1 0.500 0.000 0.000

No. 6
# HfMn3Pt | Alexandria | SCAN | PBEsol geometry
# - DOS at the Fermi energy (states/eV/cell) = 4.93
# - total moment (μB per cell) = 11.6
# - electronic total energy (eV per atom) = -37.09
# - ΔE_f (meV/atom) = 433
# - crystal system = cubic
data_HfMn3Pt
_cell_length_a 4.664
_cell_length_b 4.664
_cell_length_c 4.664
_cell_angle_alpha 90.00
_cell_angle_beta 90.00
_cell_angle_gamma 90.00
_space_group_name_H-M_alt 'P 1'
_space_group_IT_number 1
_space_group_name_Hall 'P 1'
loop_
_atom_site_label
_atom_site_fract_x
_atom_site_fract_y
_atom_site_fract_z
Mn1 0.000 0.500 0.000
Mn2 0.000 0.000 0.500
Mn3 0.500 0.000 0.000
Pt1 0.000 0.000 0.000
Hf1 0.500 0.500 0.500

No. 7
# KZr2Hg | Alexandria | SCAN | PBEsol geometry
# - DOS at the Fermi energy (states/eV/cell) = 4.19
# - total moment (μB per cell) = 1.0
# - electronic total energy (eV per atom) = -33.88
# - ΔE_f (meV/atom) = 594
# - crystal system = tetragonal
data_KZr2Hg
_cell_length_a 4.471
_cell_length_b 4.471
_cell_length_c 5.659
_cell_angle_alpha 113.27
_cell_angle_beta 113.27
_cell_angle_gamma 90.00
_space_group_name_H-M_alt 'P 1'
_space_group_IT_number 1
_space_group_name_Hall 'P 1'
loop_
_atom_site_label
_atom_site_fract_x
_atom_site_fract_y
_atom_site_fract_z
Hg1 0.500 0.500 0.000
Zr1 0.750 0.250 0.500
Zr2 0.000 0.000 0.000
K1 0.250 0.750 0.500

No. 8
# CoHgTe3 | Alexandria | SCAN | PBEsol geometry
# - DOS at the Fermi energy (states/eV/cell) = 6.31
# - total moment (μB per cell) = 0.0
# - electronic total energy (eV per atom) = -38.99
# - crystal system = cubic
# - raw formation energy (eV/atom) = 0.45
data_CoHgTe3
_cell_length_a 5.002
_cell_length_b 5.002
_cell_length_c 5.002
_cell_angle_alpha 90.00
_cell_angle_beta 90.00
_cell_angle_gamma 90.00
_space_group_name_H-M_alt 'P 1'
_space_group_IT_number 1
_space_group_name_Hall 'P 1'
loop_
_atom_site_label
_atom_site_fract_x
_atom_site_fract_y
_atom_site_fract_z
Co1 0.000 0.000 0.000
Hg1 0.500 0.500 0.500
Te1 0.000 0.000 0.500
Te2 0.500 0.000 0.000
Te3 0.000 0.500 0.000

What is the total moment in the fifth record? 0.0 μB per cell

What is the electronic total energy in the seventh record? -33.88 eV per atom